Record 1
Here is MgTl8Pb3 after structural relaxation from Alexandria via LeMat-Bulk. Energies are from PBE.

Lattice parameters (Å, degrees): 6.0322 6.0322 11.4134 90.00 90.00 120.00
Space group P-31m (No. 162)
One atom of each set of equivalent atoms:
Mg1 0.0000 0.0000 0.0000 x1
Tl1 0.0000 0.3275 0.7542 x6
Tl2 0.3333 0.6667 0.0000 x2
Pb1 0.0000 0.0000 0.5000 x1
Pb2 0.3333 0.6667 0.5000 x2

The value obtained for the density of states at the Fermi level is 1.8 states/eV per cell. As for the formation energy: 0.01 eV/atom.

---

Record 2
Here is LiHoPuFe after structural relaxation from Alexandria via LeMat-Bulk. Energies are from PBE.

Lattice parameters (Å, degrees): 6.8387 6.8387 6.8387 90.00 90.00 90.00
Space group F-43m (No. 216)
One atom of each set of equivalent atoms:
Li1 0.0000 0.0000 0.0000 x4
Ho1 0.2500 0.2500 0.7500 x4
Pu1 0.2500 0.2500 0.2500 x4
Fe1 0.0000 0.0000 0.5000 x4

The value obtained for the density of states at the Fermi level is 38.3 states/eV per cell. As for the formation energy: 0.18 eV/atom.

---

Record 3
Here is Rb3Nd3ScTe8 after structural relaxation from Alexandria via LeMat-Bulk. Energies are from PBE.

Lattice parameters (Å, degrees): 8.9595 8.9595 26.6679 90.00 90.00 120.00
Space group R-3m (No. 166, hexagonal axes)
One atom of each set of equivalent atoms:
Rb1 0.0000 0.5000 0.0000 x9
Nd1 0.0000 0.5000 0.5000 x9
Sc1 0.0000 0.0000 0.5000 x3
Te1 0.0000 0.0000 0.2358 x6
Te2 0.0187 0.5093 0.2319 x18

The formation energy (no corrections) is -1282.9 meV per atom. The value obtained for the density of states at the Fermi level is 24.8 states/eV per cell.

---

Record 4
Here is KMgTaAl after structural relaxation from Alexandria via LeMat-Bulk. Energies are from PBE.

Lattice parameters (Å, degrees): 2.9321 4.5676 8.5768 90.00 90.00 90.00
Space group Pmm2 (No. 25)
One atom of each set of equivalent atoms:
K1 0.0000 0.0000 0.0000 x1
Mg1 0.5000 0.5000 0.3651 x1
Ta1 0.0000 0.5000 0.6593 x1
Al1 0.5000 0.0000 0.6027 x1

The value obtained for the density of states at the Fermi level is 3.2 states/eV per cell. The energy relative to the lowest polymorph listed for this composition comes out at 187 meV/atom. As for the formation energy: 0.50 eV/atom.

---

Record 5
Here is RbNb4AgP2S20 after structural relaxation from Alexandria via LeMat-Bulk. Energies are from PBE.

Lattice parameters (Å, degrees): 7.5873 7.7639 12.9956 89.86 77.07 87.36
Space group P1 (No. 1)
One atom of each set of equivalent atoms:
Rb1 0.0000 0.0000 0.0000 x1
Nb1 0.3974 0.5601 0.1875 x1
Nb2 0.3973 0.5661 0.4764 x1
Nb3 0.3975 0.4370 0.6863 x1
Nb4 0.4011 0.4302 0.9775 x1
Ag1 0.9061 0.9996 0.5772 x1
P1 0.1830 0.8652 0.3576 x1
P2 0.6096 0.1325 0.8001 x1
S1 0.1265 0.5748 0.6303 x1
S2 0.1276 0.5616 0.1049 x1
S3 0.1483 0.5980 0.3642 x1
S4 0.1609 0.3936 0.8625 x1
S5 0.2006 0.3344 0.5686 x1
S6 0.2045 0.3223 0.1479 x1
S7 0.2711 0.6304 0.8514 x1
S8 0.3259 0.8909 0.2039 x1
S9 0.3359 0.8958 0.4677 x1
S10 0.4547 0.1055 0.6916 x1
S11 0.4720 0.0986 0.9546 x1
S12 0.5282 0.3682 0.3161 x1
S13 0.5927 0.6704 0.5952 x1
S14 0.5988 0.6618 0.0176 x1
S15 0.6343 0.6072 0.3005 x1
S16 0.6479 0.3979 0.7986 x1
S17 0.6692 0.4212 0.0618 x1
S18 0.6686 0.4302 0.5336 x1
S19 0.8388 0.9799 0.7688 x1
S20 0.9548 0.0164 0.3861 x1

The formation energy (no corrections) is -646.9 meV per atom.

---

Record 6
Here is ZnCo2Ru after structural relaxation from Alexandria via LeMat-Bulk. Energies are from PBE.

Lattice parameters (Å, degrees): 4.1301 4.1301 2.9303 90.00 90.00 90.00
Space group P4/mmm (No. 123)
One atom of each set of equivalent atoms:
Zn1 0.0000 0.0000 0.0000 x1
Co1 0.0000 0.5000 0.5000 x2
Ru1 0.5000 0.5000 0.0000 x1

The value obtained for the density of states at the Fermi level is 4.0 states/eV per cell. As for the formation energy: 0.15 eV/atom.

---

Record 7
Here is SmGa2Pd5Au after structural relaxation from Alexandria via LeMat-Bulk. Energies are from PBE.

Lattice parameters (Å, degrees): 4.1217 4.1217 9.4634 90.00 90.00 90.00
Space group P4/mmm (No. 123)
One atom of each set of equivalent atoms:
Sm1 0.0000 0.0000 0.0000 x1
Ga1 0.5000 0.5000 0.3728 x2
Pd1 0.0000 0.5000 0.2265 x4
Pd2 0.5000 0.5000 0.0000 x1
Au1 0.0000 0.0000 0.5000 x1

The value obtained for the density of states at the Fermi level is 1.8 states/eV per cell. As for the formation energy: -0.52 eV/atom.

---

Record 8
Here is Mg3GePd after structural relaxation from Alexandria via LeMat-Bulk. Energies are from PBE.

Lattice parameters (Å, degrees): 4.2451 6.8337 6.9488 105.88 90.00 90.04
Space group P1 (No. 1)
One atom of each set of equivalent atoms:
Mg1 0.0000 0.0000 0.0000 x1
Mg2 0.0002 0.0128 0.4995 x1
Mg3 0.0000 0.6499 0.1710 x1
Mg4 0.4998 0.3101 0.1493 x1
Mg5 0.4999 0.6423 0.8412 x1
Mg6 0.9995 0.4543 0.5026 x1
Ge1 0.0018 0.3327 0.8407 x1
Ge2 0.5007 0.7032 0.4610 x1
Pd1 0.5003 0.9220 0.2109 x1
Pd2 0.5006 0.0434 0.7691 x1

The value obtained for the density of states at the Fermi level is 2.2 states/eV per cell. The energy relative to the lowest polymorph listed for this composition comes out at 0 meV/atom. As for the formation energy: -0.35 eV/atom.

---

Record 9
Here is NbAlFe2Hg after structural relaxation from Alexandria via LeMat-Bulk. Energies are from PBE.

Lattice parameters (Å, degrees): 4.3054 4.3054 4.6428 90.00 90.00 90.00
Space group P4/mmm (No. 123)
One atom of each set of equivalent atoms:
Nb1 0.0000 0.0000 0.0000 x1
Al1 0.5000 0.5000 0.5000 x1
Fe1 0.0000 0.5000 0.5000 x2
Hg1 0.5000 0.5000 0.0000 x1

The value obtained for the density of states at the Fermi level is 5.9 states/eV per cell. As for the formation energy: 1.27 eV/atom.

---

Record 10
Here is LaTb2Ag2Ge2 after structural relaxation from Alexandria via LeMat-Bulk. Energies are from PBE.

Lattice parameters (Å, degrees): 4.6121 4.6121 27.6594 90.00 90.00 120.00
Space group R-3m (No. 166, hexagonal axes)
One atom of each set of equivalent atoms:
La1 0.0000 0.0000 0.0000 x3
Tb1 0.0000 0.0000 0.1292 x6
Ag1 0.0000 0.0000 0.4075 x6
Ge1 0.0000 0.0000 0.2556 x6

The value obtained for the density of states at the Fermi level is 10.0 states/eV per cell. As for the formation energy: -0.45 eV/atom.

---

Record 11
Here is Ho2MgS4 after structural relaxation from Alexandria via LeMat-Bulk. Energies are from PBE.

Lattice parameters (Å, degrees): 12.5795 3.8396 13.3971 90.00 90.00 90.00
Space group Pnma (No. 62)
One atom of each set of equivalent atoms:
Ho1 0.1177 0.2500 0.0757 x4
Ho2 0.1375 0.2500 0.7051 x4
Mg1 0.1115 0.7500 0.4544 x4
S1 0.0075 0.7500 0.6166 x4
S2 0.0271 0.2500 0.8837 x4
S3 0.2269 0.2500 0.2479 x4
S4 0.2380 0.2500 0.5163 x4

The formation energy (no corrections) is -1832.2 meV per atom. The value obtained for the density of states at the Fermi level is 0.0 states/eV per cell. The energy relative to the lowest polymorph listed for this composition comes out at 62 meV/atom.

---

Record 12
Here is K2Ge3Pt4Au after structural relaxation from Alexandria via LeMat-Bulk. Energies are from PBE.

Lattice parameters (Å, degrees): 4.4929 4.4929 10.3174 90.00 90.00 90.00
Space group P-4m2 (No. 115)
One atom of each set of equivalent atoms:
K1 0.0000 0.5000 0.2477 x2
Ge1 0.0000 0.0000 0.0000 x1
Ge2 0.0000 0.5000 0.6186 x2
Pt1 0.0000 0.0000 0.5000 x1
Pt2 0.0000 0.5000 0.8575 x2
Pt3 0.5000 0.5000 0.5000 x1
Au1 0.5000 0.5000 0.0000 x1

The value obtained for the density of states at the Fermi level is 5.2 states/eV per cell. As for the formation energy: -0.34 eV/atom.

---

What did the fourth record say?
Here is KMgTaAl after structural relaxation from Alexandria via LeMat-Bulk. Energies are from PBE.

Lattice parameters (Å, degrees): 2.9321 4.5676 8.5768 90.00 90.00 90.00
Space group Pmm2 (No. 25)
One atom of each set of equivalent atoms:
K1 0.0000 0.0000 0.0000 x1
Mg1 0.5000 0.5000 0.3651 x1
Ta1 0.0000 0.5000 0.6593 x1
Al1 0.5000 0.0000 0.6027 x1

The value obtained for the density of states at the Fermi level is 3.2 states/eV per cell. The energy relative to the lowest polymorph listed for this composition comes out at 187 meV/atom. As for the formation energy: 0.50 eV/atom.